{
  "formula": "Pm2GaSi2Ru5",
  "functional": "PBE-GGA",
  "state": "optimized geometry",
  "sg": "P4/mbm",
  "crystal_system": "tetragonal",
  "vol_a3_per_fu": 165.8,
  "formation_energy_uncorrected_ev_per_atom": -0.5320,
  "dos_ef_per_ev_fu": 6.746,
  "cell": [[10.0884, 0.0000, 0.0000], [0.0000, 10.0884, 0.0000], [0.0000, 0.0000, 3.2582]],
  "species": ["Pm", "Pm", "Pm", "Pm", "Ga", "Ga", "Si", "Si", "Si", "Si", "Ru", "Ru", "Ru", "Ru", "Ru", "Ru", "Ru", "Ru", "Ru", "Ru"],
  "fractional_positions": [[0.1737, 0.3263, 0.0000], [0.3263, 0.8263, 0.0000], [0.6737, 0.1737, 0.0000], [0.8263, 0.6737, 0.0000], [0.0000, 0.0000, 0.0000], [0.5000, 0.5000, 0.0000], [0.1271, 0.6271, 0.0000], [0.3729, 0.1271, 0.0000], [0.6271, 0.8729, 0.0000], [0.8729, 0.3729, 0.0000], [0.0000, 0.5000, 0.5000], [0.0660, 0.7914, 0.5000], [0.2086, 0.0660, 0.5000], [0.2914, 0.5660, 0.5000], [0.4340, 0.2914, 0.5000], [0.5000, 0.0000, 0.5000], [0.5660, 0.7086, 0.5000], [0.7086, 0.4340, 0.5000], [0.7914, 0.9340, 0.5000], [0.9340, 0.2086, 0.5000]]
}